Entry 1:
# CrOsPt2 PBE optimized geometry
# Fermi-level density of states = 1.314 states/eV/atom
# M_tot = 1.43 μB per formula unit
# E = -33.038 eV/cell
# energy of formation from the pure elements = -0.03 eV/atom
data_CrOsPt2
_space_group_name_H-M_alt 'P 1'
_space_group_IT_number 1
_space_group_name_Hall 'P 1'
_cell_length_a 4.727
_cell_length_b 4.727
_cell_length_c 4.727
_cell_angle_alpha 131.60
_cell_angle_beta 131.60
_cell_angle_gamma 70.86
loop_
_atom_site_label
_atom_site_fract_x
_atom_site_fract_y
_atom_site_fract_z
_atom_site_occupancy
Cr1 0.000 0.000 0.000 1
Os1 0.750 0.250 0.500 1
Pt1 0.250 0.750 0.500 1
Pt2 0.500 0.500 0.000 1

Entry 2:
# Cr2OsPt PBE optimized geometry
# Fermi-level density of states = 1.130 states/eV/atom
# M_tot = 0.14 μB per formula unit
# E = -36.589 eV/cell
# energy of formation from the pure elements = -0.02 eV/atom
data_Cr2OsPt
_space_group_name_H-M_alt 'P 1'
_space_group_IT_number 1
_space_group_name_Hall 'P 1'
_cell_length_a 4.657
_cell_length_b 4.657
_cell_length_c 4.657
_cell_angle_alpha 132.31
_cell_angle_beta 132.31
_cell_angle_gamma 69.74
loop_
_atom_site_label
_atom_site_fract_x
_atom_site_fract_y
_atom_site_fract_z
_atom_site_occupancy
Cr1 0.000 0.000 0.000 1
Cr2 0.750 0.250 0.500 1
Os1 0.500 0.500 0.000 1
Pt1 0.250 0.750 0.500 1